# TiNi2GeO6 | the Alexandria database | PBE with a Hubbard U | relaxed
# **VASP energy**: -6.2597 eV/atom
# **Volume**: 123.9 Å³/f.u.
data_TiNi2GeO6
_symmetry_space_group_name_H-M 'P 4 m m'
_symmetry_Int_Tables_number 99
_cell_length_a 5.172
_cell_length_b 5.172
_cell_length_c 4.633
_cell_angle_alpha 90.00
_cell_angle_beta 90.00
_cell_angle_gamma 90.00
loop_
_symmetry_equiv_pos_as_xyz
'x,y,z'
'-y,x,z'
'-x,-y,z'
'y,-x,z'
'-x,y,z'
'y,x,z'
'x,-y,z'
'-y,-x,z'
loop_
_atom_site_label
_atom_site_type_symbol
_atom_site_fract_x
_atom_site_fract_y
_atom_site_fract_z
Ti1 Ti 0.000 0.000 0.000
Ni1 Ni 0.000 0.500 0.338
Ge1 Ge 0.500 0.500 0.994
O1 O 0.000 0.000 0.634
O2 O 0.257 0.257 0.142
O3 O 0.500 0.500 0.623